(1)
The following is a PBE calculation of a relaxed structure of Er3PuPt12, from Alexandria via LeMat-Bulk.

Cell lengths 4.112, 4.112, 16.455 Å; angles 90.00, 90.00, 90.00 degrees
Positions (direct):
Er: 0.000 0.000 0.000
Er: 0.000 0.000 0.247
Er: 0.000 0.000 0.753
Pu: 0.000 0.000 0.500
Pt: 0.000 0.500 0.124
Pt: 0.000 0.500 0.373
Pt: 0.000 0.500 0.627
Pt: 0.000 0.500 0.876
Pt: 0.500 0.000 0.124
Pt: 0.500 0.000 0.373
Pt: 0.500 0.000 0.627
Pt: 0.500 0.000 0.876
Pt: 0.500 0.500 0.000
Pt: 0.500 0.500 0.248
Pt: 0.500 0.500 0.500
Pt: 0.500 0.500 0.752

Output
Space group: P4/mmm, No. 123
Size of the total moment, μB/atom: 0.26
Raw total energy, eV per atom: -7.260


(2)
The following is a PBE calculation of a relaxed structure of Er2PuPt9, from Alexandria via LeMat-Bulk.

Cell lengths 4.114, 4.114, 12.365 Å; angles 90.00, 90.00, 90.00 degrees
Positions (direct):
Er: 0.000 0.000 0.164
Er: 0.000 0.000 0.836
Pu: 0.000 0.000 0.500
Pt: 0.000 0.500 0.000
Pt: 0.000 0.500 0.332
Pt: 0.000 0.500 0.668
Pt: 0.500 0.000 0.000
Pt: 0.500 0.000 0.332
Pt: 0.500 0.000 0.668
Pt: 0.500 0.500 0.165
Pt: 0.500 0.500 0.500
Pt: 0.500 0.500 0.835

Output
Space group: P4/mmm, No. 123
Size of the total moment, μB/atom: 0.34
Raw total energy, eV per atom: -7.435


(3)
The following is a PBE calculation of a relaxed structure of ErPuSnPt, from Alexandria via LeMat-Bulk.

Cell lengths 5.144, 5.144, 5.144 Å; angles 60.00, 60.00, 60.00 degrees
Positions (direct):
Er: 0.000 0.000 0.000
Pu: 0.500 0.500 0.500
Sn: 0.250 0.250 0.250
Pt: 0.750 0.750 0.750

Output
Space group: F-43m, No. 216
Size of the total moment, μB/atom: 1.31
Raw total energy, eV per atom: -7.850


(4)
The following is a PBE calculation of a relaxed structure of ErPuTcPt, from Alexandria via LeMat-Bulk.

Cell lengths 4.841, 4.841, 4.841 Å; angles 60.00, 60.00, 60.00 degrees
Positions (direct):
Er: 0.000 0.000 0.000
Pu: 0.500 0.500 0.500
Tc: 0.750 0.750 0.750
Pt: 0.250 0.250 0.250

Output
Space group: F-43m, No. 216
Size of the total moment, μB/atom: 1.07
Raw total energy, eV per atom: -9.254


(5)
The following is a PBE calculation of a relaxed structure of ErPuZnPt, from Alexandria via LeMat-Bulk.

Cell lengths 4.978, 4.978, 4.978 Å; angles 60.00, 60.00, 60.00 degrees
Positions (direct):
Er: 0.000 0.000 0.000
Pu: 0.500 0.500 0.500
Zn: 0.750 0.750 0.750
Pt: 0.250 0.250 0.250

Output
Space group: F-43m, No. 216
Size of the total moment, μB/atom: 1.38
Raw total energy, eV per atom: -7.134


(6)
The following is a PBE calculation of a relaxed structure of Er6PtRh5, from Alexandria via LeMat-Bulk.

Cell lengths 7.561, 7.561, 6.917 Å; angles 90.00, 90.00, 143.15 degrees
Positions (direct):
Er: 0.000 0.000 0.248
Er: 0.000 0.000 0.752
Er: 0.332 0.668 0.249
Er: 0.332 0.668 0.751
Er: 0.668 0.332 0.249
Er: 0.668 0.332 0.751
Pt: 0.500 0.500 0.500
Rh: 0.166 0.834 0.000
Rh: 0.168 0.832 0.500
Rh: 0.500 0.500 0.000
Rh: 0.832 0.168 0.500
Rh: 0.834 0.166 0.000

Output
Space group: Cmmm, No. 65
Size of the total moment, μB/atom: 0.00
Raw total energy, eV per atom: -6.840


(7)
The following is a PBE calculation of a relaxed structure of Er7Pt2Rh2, from Alexandria via LeMat-Bulk.

Cell lengths 6.574, 6.574, 6.829 Å; angles 90.00, 90.00, 102.13 degrees
Positions (direct):
Er: 0.000 0.000 0.000
Er: 0.000 0.500 0.260
Er: 0.000 0.500 0.740
Er: 0.500 0.000 0.260
Er: 0.500 0.000 0.740
Er: 0.500 0.500 0.255
Er: 0.500 0.500 0.745
Pt: 0.225 0.225 0.500
Pt: 0.775 0.775 0.500
Rh: 0.279 0.721 0.000
Rh: 0.721 0.279 0.000

Output
Space group: Cmmm, No. 65
Energy above the most stable polymorph in this dataset, meV per atom: 194
Size of the total moment, μB/atom: 0.00
Raw total energy, eV per atom: -6.016


(8)
The following is a PBE calculation of a relaxed structure of Er6Pt5Rh, from Alexandria via LeMat-Bulk.

Cell lengths 8.460, 8.460, 8.460 Å; angles 146.52, 131.76, 60.00 degrees
Positions (direct):
Er: 0.084 0.334 0.749
Er: 0.249 0.000 0.249
Er: 0.415 0.666 0.749
Er: 0.585 0.334 0.251
Er: 0.751 0.000 0.751
Er: 0.916 0.666 0.251
Pt: 0.163 0.163 0.000
Pt: 0.331 0.831 0.500
Pt: 0.500 0.500 0.000
Pt: 0.669 0.169 0.500
Pt: 0.837 0.837 0.000
Rh: 0.000 0.500 0.500

Output
Space group: Immm, No. 71
Size of the total moment, μB/atom: 0.00
Raw total energy, eV per atom: -6.624


(9)
The following is a PBE calculation of a relaxed structure of ErPtRh, from Alexandria via LeMat-Bulk.

Cell lengths 4.348, 4.348, 3.640 Å; angles 90.00, 90.00, 120.00 degrees
Positions (direct):
Er: 0.000 0.000 0.000
Pt: 0.333 0.667 0.500
Rh: 0.667 0.333 0.500

Output
Space group: P-6m2, No. 187
Energy above the most stable polymorph in this dataset, meV per atom: 55
Size of the total moment, μB/atom: 0.00
Raw total energy, eV per atom: -6.816


(10)
The following is a PBE calculation of a relaxed structure of ErPtRh, from Alexandria via LeMat-Bulk.

Cell lengths 6.882, 6.882, 4.136 Å; angles 90.00, 90.00, 146.65 degrees
Positions (direct):
Er: 0.096 0.904 0.750
Er: 0.904 0.096 0.250
Pt: 0.250 0.750 0.250
Pt: 0.750 0.250 0.750
Rh: 0.415 0.585 0.750
Rh: 0.585 0.415 0.250

Output
Space group: Cmcm, No. 63
Energy above the most stable polymorph in this dataset, meV per atom: 54
Size of the total moment, μB/atom: 0.00
Raw total energy, eV per atom: -6.817


(11)
The following is a PBE calculation of a relaxed structure of Er2Pt2Rh, from Alexandria via LeMat-Bulk.

Cell lengths 7.396, 7.396, 7.396 Å; angles 131.57, 67.94, 135.40 degrees
Positions (direct):
Er: 0.161 0.228 0.390
Er: 0.339 0.728 0.067
Er: 0.661 0.272 0.933
Er: 0.839 0.772 0.610
Pt: 0.109 0.679 0.788
Pt: 0.391 0.179 0.570
Pt: 0.609 0.821 0.430
Pt: 0.891 0.321 0.212
Rh: 0.250 0.250 0.000
Rh: 0.750 0.750 0.000

Output
Space group: Ibam, No. 72
Size of the total moment, μB/atom: 0.00
Raw total energy, eV per atom: -6.617


(12)
The following is a PBE calculation of a relaxed structure of Er4PtRh2, from Alexandria via LeMat-Bulk.

Cell lengths 8.334, 8.334, 8.334 Å; angles 33.44, 33.44, 33.44 degrees
Positions (direct):
Er: 0.123 0.123 0.123
Er: 0.374 0.374 0.374
Er: 0.626 0.626 0.626
Er: 0.877 0.877 0.877
Pt: 0.500 0.500 0.500
Rh: 0.250 0.250 0.250
Rh: 0.750 0.750 0.750

Output
Space group: R-3m, No. 166
Size of the total moment, μB/atom: 0.00
Raw total energy, eV per atom: -6.489